(1)
Here is crystalline KZnF2 at its relaxed geometry from Alexandria. Energies are from PBE-GGA.

Properties
Raw total energy: -12.61 eV per formula unit
Energy above the most stable polymorph in this dataset: 1.26 eV/f.u.

Unit cell a=4.4823 b=4.4823 c=4.4823 alpha=60.00 beta=60.00 gamma=60.00
With the nearest neighbours (Å) after each atom.
Atoms (fractional coordinates):
1 K 0.0000 0.0000 0.0000  8 F 2.74
2 Zn 0.5000 0.5000 0.5000  8 F 2.74
3 F 0.2500 0.2500 0.2500  4 Zn 2.74, 4 K 2.74
4 F 0.7500 0.7500 0.7500  4 Zn 2.74, 4 K 2.74

=====

(2)
Here is crystalline KZnF3 at its relaxed geometry from Alexandria. Energies are from PBE-GGA.

Properties
Raw total energy: -16.19 eV per formula unit

Unit cell a=10.6870 b=10.6870 c=10.6870 alpha=157.43 beta=157.43 gamma=32.14
With the nearest neighbours (Å) after each atom.
Atoms (fractional coordinates):
1 K 0.0000 0.0000 0.0000  4 F 2.55
2 K 0.7500 0.2500 0.5000  4 F 2.51
3 Zn 0.1389 0.6389 0.5000  6 F 2.28-2.40
4 Zn 0.3611 0.8611 0.5000  6 F 2.28-2.40
5 F 0.3174 0.3174 0.0000  2 Zn 2.28, 2 K 2.51
6 F 0.3629 0.1131 0.2498  2 F 2.09
7 F 0.6826 0.6826 0.0000  2 Zn 2.28, 2 K 2.51
8 F 0.8633 0.1131 0.7502  2 F 2.09
9 F 0.8869 0.1367 0.2498  2 F 2.09
10 F 0.8869 0.6371 0.7502  2 F 2.09

=====

(3)
Here is crystalline KZnF3 at its relaxed geometry from Alexandria. Energies are from PBE-GGA.

Properties
Raw total energy: -20.61 eV per formula unit

Unit cell a=6.5972 b=6.5972 c=6.5972 alpha=50.85 beta=50.85 gamma=50.85
With the nearest neighbours (Å) after each atom.
Atoms (fractional coordinates):
1 K 0.1349 0.1349 0.1349  6 F 2.58-2.78
2 K 0.8651 0.8651 0.8651  6 F 2.58-2.78
3 Zn 0.3394 0.3394 0.3394  6 F 2.06-2.12
4 Zn 0.6606 0.6606 0.6606  6 F 2.06-2.12
5 F 0.0603 0.4819 0.6652  2 Zn 2.06-2.12
6 F 0.3348 0.9397 0.5181  2 Zn 2.06-2.12
7 F 0.4819 0.6652 0.0603  2 Zn 2.06-2.12
8 F 0.5181 0.3348 0.9397  2 Zn 2.06-2.12
9 F 0.6652 0.0603 0.4819  2 Zn 2.06-2.12
10 F 0.9397 0.5181 0.3348  2 Zn 2.06-2.12